First-principles (PBE) data for a relaxed structure of Ti4VOs, as listed in Alexandria.

Cell lengths 4.2502, 4.2516, 6.0084 Å; angles 89.93, 89.96, 90.00 degrees
Positions (direct):
V: 0.0013 0.9972 0.4981
Ti: 0.0011 0.4970 0.2511
Ti: 0.0015 0.4976 0.7452
Os: 0.5013 0.4973 0.9982
Ti: 0.5015 0.9977 0.7452
Ti: 0.5011 0.9970 0.2511

Properties
Space-group type = C2/m (12)
Calculated volume = 18.10 Å³ per atom
Energy above the most stable polymorph in this dataset = 536.5 meV/atom
Uncorrected energy = -50.127 eV per cell
Calculated formation energy = 29 kJ per mole of atoms